# BePAu2

An optimized crystal structure of BePAu2 (PBE, the Alexandria database).

Geometry as POSCAR:
```
BePAu2
1.0
-2.198 -2.171 -3.274
-3.262 -2.993 -0.814
-5.423 2.218 -1.604
P Au Be
1 2 1
Cartesian
-2.197 -0.191 -1.014
-10.718 -2.832 -5.582
-8.035 -2.705 -4.380
-6.257 -1.635 -3.253
```

## Properties
E_form: 0.13 eV per atom
mass density: 11.25 g cm⁻³
excess energy over the best structure of this formula in the dataset: 38 meV per atom
volume: 16.0 Å³/atom


# BeP2Au

An optimized crystal structure of BeP2Au (PBE, the Alexandria database).

Geometry as POSCAR:
```
BeP2Au
1.0
5.327 0.478 -0.025
1.641 5.091 0.025
-2.649 -3.830 2.632
Be P Au
1 2 1
Cartesian
1.016 1.845 1.329
3.723 0.228 1.303
0.181 0.144 0.000
2.885 2.305 0.000
```

## Properties
E_form: 0.45 eV per atom
mass density: 6.39 g cm⁻³
volume: 17.4 Å³/atom


# BePAu2

An optimized crystal structure of BePAu2 (PBE, the Alexandria database).

Geometry as POSCAR:
```
BePAu2
1.0
3.471 0.000 0.000
0.000 3.471 0.000
0.000 0.000 5.135
Au Be P
2 1 1
Cartesian
0.000 0.000 4.852
1.736 1.736 1.571
0.000 0.000 2.412
1.736 1.736 4.001
```

## Properties
E_form: 0.19 eV per atom
mass density: 11.65 g cm⁻³
excess energy over the best structure of this formula in the dataset: 96 meV per atom
volume: 15.5 Å³/atom